A geometry-optimized LiTiIn structure. Source: Alexandria via LeMat-Bulk, functional PBE.

```
data_LiTiIn
_chemical_formula_sum 'Li2 Ti2 In2'
_cell_length_a 3.087
_cell_length_b 5.179
_cell_length_c 7.548
_cell_angle_alpha 108.80
_cell_angle_beta 90.03
_cell_angle_gamma 107.25
_symmetry_space_group_name_H-M 'P -1'
_symmetry_Int_Tables_number 2
loop_
_symmetry_equiv_pos_as_xyz
'x,y,z'
'-x,-y,-z'
loop_
_atom_site_label
_atom_site_type_symbol
_atom_site_fract_x
_atom_site_fract_y
_atom_site_fract_z
Li1 Li 0.181 0.363 0.098
Ti1 Ti 0.156 0.312 0.554
In1 In 0.492 0.983 0.217
```

Computed properties:
- Formation energy from the elements: -0.111 eV per atom
- Crystal system: triclinic
- Offset from the most stable computed form: 0.062 eV/atom
- Final energy: -4.29 eV/atom